Material: Tb2PrTm2
Method: DFT, PBE
State: relaxed

Cell lengths 5.725, 6.783, 10.092 Å; angles 99.01, 73.52, 65.04 degrees
Fractional coordinates of all 10 atoms:
Tm1 0.937 0.205 0.921
Tm2 0.063 0.795 0.079
Tm3 0.683 0.262 0.371
Tm4 0.317 0.738 0.629
Tb1 0.115 0.227 0.543
Tb2 0.465 0.303 0.767
Tb3 0.535 0.697 0.233
Tb4 0.885 0.773 0.457
Pr1 0.299 0.252 0.151
Pr2 0.701 0.748 0.849

Properties
**N(E_F)**: 17.0 states/eV/cell
**Polymorph energy (0 for the lowest one)**: 0.024 eV per atom
**Size of the total moment**: 0.00 μB per cell

Material: Tl3Co5H12
Method: DFT, PBE
State: relaxed

Cell lengths 9.681, 9.681, 9.681 Å; angles 109.47, 109.47, 109.47 degrees
Fractional coordinates of all 80 atoms:
H1 0.106 0.192 0.164
H2 0.836 0.308 0.894
H3 0.192 0.106 0.664
H4 0.413 0.442 0.606
H5 0.558 0.972 0.164
H6 0.058 0.664 0.472
H7 0.664 0.058 0.972
H8 0.913 0.106 0.942
H9 0.106 0.913 0.442
H10 0.528 0.692 0.087
H11 0.442 0.413 0.106
H12 0.558 0.587 0.894
H13 0.528 0.836 0.942
H14 0.164 0.472 0.558
H15 0.394 0.058 0.587
H16 0.164 0.692 0.106
H17 0.664 0.606 0.192
H18 0.028 0.587 0.192
H19 0.808 0.894 0.336
H20 0.472 0.164 0.058
H21 0.087 0.192 0.528
H22 0.087 0.894 0.058
H23 0.413 0.972 0.308
H24 0.308 0.836 0.394
H25 0.606 0.664 0.692
H26 0.336 0.942 0.028
H27 0.336 0.394 0.808
H28 0.913 0.808 0.472
H29 0.472 0.308 0.913
H30 0.692 0.164 0.606
H31 0.692 0.528 0.587
H32 0.808 0.913 0.972
H33 0.972 0.413 0.808
H34 0.836 0.528 0.442
H35 0.058 0.394 0.087
H36 0.192 0.087 0.028
H37 0.308 0.472 0.413
H38 0.972 0.558 0.664
H39 0.587 0.028 0.692
H40 0.442 0.028 0.836
H41 0.606 0.942 0.413
H42 0.394 0.336 0.308
H43 0.894 0.808 0.836
H44 0.894 0.087 0.558
H45 0.942 0.336 0.528
H46 0.587 0.558 0.394
H47 0.942 0.606 0.913
H48 0.028 0.442 0.336
Co1 0.500 0.000 0.500
Co2 0.000 0.000 0.000
Co3 0.125 0.750 0.375
Co4 0.625 0.750 0.875
Co5 0.000 0.500 0.000
Co6 0.125 0.375 0.250
Co7 0.000 0.000 0.500
Co8 0.750 0.125 0.875
Co9 0.500 0.000 0.000
Co10 0.750 0.625 0.375
Co11 0.000 0.500 0.500
Co12 0.500 0.500 0.500
Co13 0.875 0.250 0.625
Co14 0.625 0.875 0.250
Co15 0.875 0.625 0.750
Co16 0.375 0.250 0.125
Co17 0.500 0.500 0.000
Co18 0.375 0.125 0.750
Co19 0.250 0.375 0.625
Co20 0.250 0.875 0.125
Tl1 0.125 0.875 0.750
Tl2 0.625 0.250 0.375
Tl3 0.625 0.375 0.750
Tl4 0.750 0.375 0.125
Tl5 0.875 0.125 0.250
Tl6 0.250 0.125 0.375
Tl7 0.125 0.250 0.875
Tl8 0.875 0.750 0.125
Tl9 0.750 0.875 0.625
Tl10 0.375 0.750 0.625
Tl11 0.375 0.625 0.250
Tl12 0.250 0.625 0.875

Properties
**N(E_F)**: 23.2 states/eV/cell
**E_tot**: -3.81 eV per atom
**Size of the total moment**: 0.00 μB per cell

Material: Pr3Al2GePd9
Method: DFT, PBE
State: relaxed

Cell lengths 5.808, 5.808, 10.950 Å; angles 90.00, 90.00, 120.00 degrees
Fractional coordinates of all 15 atoms:
Pd1 0.500 0.000 0.000
Pd2 0.661 0.831 0.340
Pd3 0.339 0.169 0.660
Pd4 0.169 0.339 0.340
Pd5 0.000 0.500 0.000
Pd6 0.831 0.169 0.660
Pd7 0.500 0.500 0.000
Pd8 0.169 0.831 0.340
Pd9 0.831 0.661 0.660
Pr1 0.667 0.333 0.267
Pr2 0.000 0.000 0.000
Pr3 0.333 0.667 0.733
Al1 0.333 0.667 0.170
Al2 0.667 0.333 0.830
Ge1 0.000 0.000 0.500

Properties
**N(E_F)**: 6.4 states/eV/cell
**E_tot**: -5.50 eV per atom
**Size of the total moment**: 0.00 μB per cell

Material: La2InCoRu
Method: DFT, PBE
State: relaxed

Cell lengths 5.317, 5.130, 5.317 Å; angles 90.00, 90.00, 90.00 degrees
Fractional coordinates of all 5 atoms:
La1 0.500 0.000 0.000
La2 0.000 0.000 0.500
Co1 0.500 0.500 0.500
Ru1 0.000 0.000 0.000
In1 0.000 0.500 0.000

Properties
**N(E_F)**: 8.7 states/eV/cell
**E_tot**: -5.51 eV per atom
**Size of the total moment**: 0.05 μB per cell